Pa3PtC | PBE | relaxed

Lattice parameters (Å, degrees): 4.718 4.718 4.718 90.00 90.00 90.00
Fractional positions:
1 C 0.000 0.000 0.000
2 Pa 0.000 0.500 0.000
3 Pa 0.000 0.000 0.500
4 Pa 0.500 0.000 0.000
5 Pt 0.500 0.500 0.500

Values from the calculation:
- DOS at the Fermi energy: 8.94 states/eV/f.u.
- Formation energy: -0.314 eV/atom
- Crystal system: cubic
- Theoretical density: 14.2 Mg/m³